The following is a DFT calculation (PBE) of a geometry-optimized MgTl2Ag structure.

Structure (CIF):
```
data_MgTl2Ag
_symmetry_space_group_name_H-M 'I -4 2 d'
_symmetry_Int_Tables_number 122
_symmetry_space_group_name_Hall 'I -4 2bw'
_cell_length_a 8.2517
_cell_length_b 8.2517
_cell_length_c 6.2153
_cell_angle_alpha 90.00
_cell_angle_beta 90.00
_cell_angle_gamma 90.00
loop_
_atom_site_label
_atom_site_type_symbol
_atom_site_fract_x
_atom_site_fract_y
_atom_site_fract_z
Mg1 Mg 0.0000 0.0000 0.0000
Tl1 Tl 0.2322 0.2500 0.6250
Ag1 Ag 0.0000 0.0000 0.5000
```

Summary:
Energy of formation from the pure elements   0.1401 eV per atom
Calculated total energy   -2.154 eV per atom